1.
# CeZrAlO6 PBE-GGA relaxed
data_CeZrAlO6
_chemical_formula_sum 'Ce1 Zr1 Al1 O6'
_symmetry_space_group_name_H-M 'P 3 1 2'
_symmetry_Int_Tables_number 149
_cell_length_a 5.2788
_cell_length_b 5.2788
_cell_length_c 4.8104
_cell_angle_alpha 90.00
_cell_angle_beta 90.00
_cell_angle_gamma 120.00
loop_
_symmetry_equiv_pos_as_xyz
'x,y,z'
'-y,x-y,z'
'-x+y,-x,z'
'-y,-x,-z'
'-x+y,y,-z'
'x,x-y,-z'
loop_
_atom_site_label
_atom_site_type_symbol
_atom_site_fract_x
_atom_site_fract_y
_atom_site_fract_z
Ce1 Ce 0.0000 0.0000 0.0000
Zr1 Zr 0.3333 0.6667 0.5000
Al1 Al 0.6667 0.3333 0.5000
O1 O 0.3650 0.0261 0.7236
# - formation energy without anion corrections (meV per atom) = -2860
# - E_tot (eV per atom) = -8.19
# - calculated volume (Å³ per cell) = 116

***

2.
# Ce2AlOs PBE-GGA relaxed
data_Ce2AlOs
_chemical_formula_sum 'Ce8 Al4 Os4'
_symmetry_space_group_name_H-M 'C m c m'
_symmetry_Int_Tables_number 63
_symmetry_space_group_name_Hall '-C 2c 2'
_cell_length_a 8.247
_cell_length_b 7.137
_cell_length_c 5.988
_cell_angle_alpha 90.00
_cell_angle_beta 90.00
_cell_angle_gamma 90.00
loop_
_atom_site_label
_atom_site_type_symbol
_atom_site_fract_x
_atom_site_fract_y
_atom_site_fract_z
Ce1 Ce 0.178 0.139 0.250
Al1 Al 0.000 0.500 0.000
Os1 Os 0.000 0.206 0.750
# - E_tot (eV per atom) = -7.04
# - calculated volume (Å³ per cell) = 352
# - energy of formation from the pure elements (eV/atom) = -0.33

***

3.
# Ce3AlOs3 PBE-GGA relaxed
data_Ce3AlOs3
_chemical_formula_sum 'Ce12 Al4 Os12'
_symmetry_space_group_name_H-M 'C m c m'
_symmetry_Int_Tables_number 63
_symmetry_space_group_name_Hall '-C 2c 2'
_cell_length_a 10.688
_cell_length_b 11.132
_cell_length_c 5.327
_cell_angle_alpha 90.00
_cell_angle_beta 90.00
_cell_angle_gamma 90.00
loop_
_atom_site_label
_atom_site_type_symbol
_atom_site_fract_x
_atom_site_fract_y
_atom_site_fract_z
Ce1 Ce 0.000 0.117 0.250
Ce2 Ce 0.232 0.398 0.250
Al1 Al 0.000 0.399 0.750
Os1 Os 0.000 0.162 0.750
Os2 Os 0.222 0.349 0.750
# - E_tot (eV per atom) = -7.93
# - calculated volume (Å³ per cell) = 634
# - energy of formation from the pure elements (eV/atom) = -0.04

***

4.
# Ce7Al2Os2 PBE-GGA relaxed
data_Ce7Al2Os2
_chemical_formula_sum 'Ce14 Al4 Os4'
_symmetry_space_group_name_H-M 'C m m m'
_symmetry_Int_Tables_number 65
_symmetry_space_group_name_Hall '-C 2 2'
_cell_length_a 8.067
_cell_length_b 10.833
_cell_length_c 6.643
_cell_angle_alpha 90.00
_cell_angle_beta 90.00
_cell_angle_gamma 90.00
loop_
_atom_site_label
_atom_site_type_symbol
_atom_site_fract_x
_atom_site_fract_y
_atom_site_fract_z
Ce1 Ce 0.000 0.000 0.000
Ce2 Ce 0.000 0.500 0.286
Ce3 Ce 0.250 0.250 0.276
Al1 Al 0.158 0.000 0.500
Os1 Os 0.000 0.291 0.000
# - E_tot (eV per atom) = -6.60
# - calculated volume (Å³ per cell) = 581
# - energy of formation from the pure elements (eV/atom) = -0.10

***

5.
# Ce8Al2Os3 PBE-GGA relaxed
data_Ce8Al2Os3
_chemical_formula_sum 'Ce16 Al4 Os6'
_symmetry_space_group_name_H-M 'C 1 2/m 1'
_symmetry_Int_Tables_number 12
_cell_length_a 16.435
_cell_length_b 7.174
_cell_length_c 6.732
_cell_angle_alpha 90.00
_cell_angle_beta 113.24
_cell_angle_gamma 90.00
loop_
_symmetry_equiv_pos_as_xyz
'x,y,z'
'-x,-y,-z'
'-x,y,-z'
'x,-y,z'
'x+1/2,y+1/2,z'
'-x+1/2,-y+1/2,-z'
'-x+1/2,y+1/2,-z'
'x+1/2,-y+1/2,z'
loop_
_atom_site_label
_atom_site_type_symbol
_atom_site_fract_x
_atom_site_fract_y
_atom_site_fract_z
Ce1 Ce 0.095 0.000 0.246
Ce2 Ce 0.095 0.285 0.757
Ce3 Ce 0.164 0.500 0.297
Al1 Al 0.234 0.000 0.052
Os1 Os 0.000 0.000 0.500
Os2 Os 0.000 0.307 0.000
# - E_tot (eV per atom) = -6.81
# - calculated volume (Å³ per cell) = 729
# - energy of formation from the pure elements (eV/atom) = 0.01

***

6.
# Ce2AlOs2 PBE-GGA relaxed
data_Ce2AlOs2
_chemical_formula_sum 'Ce8 Al4 Os8'
_symmetry_space_group_name_H-M 'I b a m'
_symmetry_Int_Tables_number 72
_symmetry_space_group_name_Hall '-I 2 2c'
_cell_length_a 7.592
_cell_length_b 10.299
_cell_length_c 5.613
_cell_angle_alpha 90.00
_cell_angle_beta 90.00
_cell_angle_gamma 90.00
loop_
_atom_site_label
_atom_site_type_symbol
_atom_site_fract_x
_atom_site_fract_y
_atom_site_fract_z
Ce1 Ce 0.153 0.163 0.000
Al1 Al 0.000 0.500 0.250
Os1 Os 0.245 0.096 0.500
# - E_tot (eV per atom) = -7.80
# - calculated volume (Å³ per cell) = 439
# - energy of formation from the pure elements (eV/atom) = -0.19

***

7.
# Ce2AlOs PBE-GGA relaxed
data_Ce2AlOs
_chemical_formula_sum 'Ce6 Al3 Os3'
_symmetry_space_group_name_H-M 'R -3 m'
_symmetry_Int_Tables_number 166
_symmetry_space_group_name_Hall '-R 3 2"'
_cell_length_a 3.9288
_cell_length_b 3.9288
_cell_length_c 28.6666
_cell_angle_alpha 90.00
_cell_angle_beta 90.00
_cell_angle_gamma 120.00
loop_
_atom_site_label
_atom_site_type_symbol
_atom_site_fract_x
_atom_site_fract_y
_atom_site_fract_z
Ce1 Ce 0.0000 0.0000 0.1125
Al1 Al 0.0000 0.0000 0.0000
Os1 Os 0.0000 0.0000 0.5000
# - E_tot (eV per atom) = -6.37
# - calculated volume (Å³ per cell) = 383
# - energy of formation from the pure elements (eV/atom) = 0.34

***

8.
# Ce4AlOs PBE-GGA relaxed
data_Ce4AlOs
_chemical_formula_sum 'Ce16 Al4 Os4'
_symmetry_space_group_name_H-M 'C 1 2/c 1'
_symmetry_Int_Tables_number 15
_cell_length_a 8.497
_cell_length_b 12.470
_cell_length_c 5.897
_cell_angle_alpha 90.00
_cell_angle_beta 111.57
_cell_angle_gamma 90.00
loop_
_symmetry_equiv_pos_as_xyz
'x,y,z'
'-x,-y,-z'
'-x,y,-z+1/2'
'x,-y,z+1/2'
'x+1/2,y+1/2,z'
'-x+1/2,-y+1/2,-z'
'-x+1/2,y+1/2,-z+1/2'
'x+1/2,-y+1/2,z+1/2'
loop_
_atom_site_label
_atom_site_type_symbol
_atom_site_fract_x
_atom_site_fract_y
_atom_site_fract_z
Ce1 Ce 0.130 0.192 0.082
Ce2 Ce 0.217 0.403 0.331
Al1 Al 0.000 0.390 0.750
Os1 Os 0.000 0.001 0.750
# - E_tot (eV per atom) = -6.65
# - calculated volume (Å³ per cell) = 581
# - energy of formation from the pure elements (eV/atom) = -0.19

***

9.
# Ce8AlOs2 PBE-GGA relaxed
data_Ce8AlOs2
_chemical_formula_sum 'Ce16 Al2 Os4'
_symmetry_space_group_name_H-M 'C 1 2/m 1'
_symmetry_Int_Tables_number 12
_cell_length_a 8.395
_cell_length_b 13.282
_cell_length_c 5.179
_cell_angle_alpha 90.00
_cell_angle_beta 104.58
_cell_angle_gamma 90.00
loop_
_symmetry_equiv_pos_as_xyz
'x,y,z'
'-x,-y,-z'
'-x,y,-z'
'x,-y,z'
'x+1/2,y+1/2,z'
'-x+1/2,-y+1/2,-z'
'-x+1/2,y+1/2,-z'
'x+1/2,-y+1/2,z'
loop_
_atom_site_label
_atom_site_type_symbol
_atom_site_fract_x
_atom_site_fract_y
_atom_site_fract_z
Ce1 Ce 0.000 0.250 0.000
Ce2 Ce 0.101 0.000 0.822
Ce3 Ce 0.175 0.392 0.562
Al1 Al 0.000 0.500 0.000
Os1 Os 0.000 0.187 0.500
# - E_tot (eV per atom) = -6.79
# - relative energy among the computed polymorphs (meV per atom) = 31
# - calculated volume (Å³ per cell) = 559
# - energy of formation from the pure elements (eV/atom) = -0.09

***

10.
# Ce6AlOs2 PBE-GGA relaxed
data_Ce6AlOs2
_chemical_formula_sum 'Ce24 Al4 Os8'
_symmetry_space_group_name_H-M 'I m m m'
_symmetry_Int_Tables_number 71
_symmetry_space_group_name_Hall '-I 2 2'
_cell_length_a 9.165
_cell_length_b 9.201
_cell_length_c 10.699
_cell_angle_alpha 90.00
_cell_angle_beta 90.00
_cell_angle_gamma 90.00
loop_
_atom_site_label
_atom_site_type_symbol
_atom_site_fract_x
_atom_site_fract_y
_atom_site_fract_z
Ce1 Ce 0.000 0.200 0.169
Ce2 Ce 0.185 0.209 0.500
Ce3 Ce 0.195 0.500 0.258
Al1 Al 0.000 0.500 0.000
Al2 Al 0.000 0.500 0.500
Os1 Os 0.000 0.000 0.362
Os2 Os 0.176 0.000 0.000
# - E_tot (eV per atom) = -7.04
# - calculated volume (Å³ per cell) = 902
# - energy of formation from the pure elements (eV/atom) = -0.17

***

11.
# Ce8AlOs6 PBE-GGA relaxed
data_Ce8AlOs6
_chemical_formula_sum 'Ce8 Al1 Os6'
_symmetry_space_group_name_H-M 'P -3'
_symmetry_Int_Tables_number 147
_cell_length_a 10.0194
_cell_length_b 10.0194
_cell_length_c 4.1006
_cell_angle_alpha 90.00
_cell_angle_beta 90.00
_cell_angle_gamma 120.00
loop_
_symmetry_equiv_pos_as_xyz
'x,y,z'
'-x,-y,-z'
'-y,x-y,z'
'y,-x+y,-z'
'-x+y,-x,z'
'x-y,x,-z'
loop_
_atom_site_label
_atom_site_type_symbol
_atom_site_fract_x
_atom_site_fract_y
_atom_site_fract_z
Ce1 Ce 0.0504 0.7292 0.2589
Ce2 Ce 0.3333 0.6667 0.7524
Al1 Al 0.0000 0.0000 0.0000
Os1 Os 0.0909 0.4729 0.2466
# - E_tot (eV per atom) = -7.97
# - calculated volume (Å³ per cell) = 356
# - energy of formation from the pure elements (eV/atom) = -0.07

***

12.
# Ce2Al4Os PBE-GGA relaxed
data_Ce2Al4Os
_chemical_formula_sum 'Ce4 Al8 Os2'
_symmetry_space_group_name_H-M 'C m m m'
_symmetry_Int_Tables_number 65
_symmetry_space_group_name_Hall '-C 2 2'
_cell_length_a 4.434
_cell_length_b 20.375
_cell_length_c 3.048
_cell_angle_alpha 90.00
_cell_angle_beta 90.00
_cell_angle_gamma 90.00
loop_
_atom_site_label
_atom_site_type_symbol
_atom_site_fract_x
_atom_site_fract_y
_atom_site_fract_z
Ce1 Ce 0.000 0.211 0.000
Al1 Al 0.000 0.066 0.500
Al2 Al 0.000 0.398 0.000
Os1 Os 0.000 0.500 0.500
# - E_tot (eV per atom) = -5.49
# - calculated volume (Å³ per cell) = 275
# - energy of formation from the pure elements (eV/atom) = -0.05